Al2H10S3O17 | GGA-PBE | relaxed

Output
The calculation puts the total DFT energy (no corrections) at -5.796 eV/atom. The total magnetic moment is 0.002 μB/cell.

a b c (Å): 5.5513 10.9235 20.9510
angles (deg): 90.00 96.59 90.00
With the nearest neighbours (Å) after each atom.
Sites, in units of the cell vectors:
Al: 0.5000 0.5000 0.0000  6 O 1.88-1.92
Al: 0.5000 0.0000 0.0000  6 O 1.88-1.91
Al: 0.4048 0.2617 0.3112  6 O 1.89-1.92
Al: 0.0952 0.7617 0.1888  6 O 1.89-1.92
Al: 0.9048 0.2383 0.8112  6 O 1.89-1.92
Al: 0.0000 0.5000 0.5000  6 O 1.88-1.91
Al: 0.0000 0.0000 0.5000  6 O 1.88-1.92
Al: 0.5952 0.7383 0.6888  6 O 1.89-1.92
H: 0.4441 0.8251 0.7941  1 O 1.00
H: 0.4094 0.6752 0.7913  1 O 0.99
H: 0.3996 0.6271 0.2642  1 O 1.00
H: 0.4207 0.5844 0.1922  1 O 0.99
H: 0.4049 0.9385 0.2026  1 O 1.00
H: 0.2854 0.0685 0.0953  1 O 0.98
H: 0.2533 0.4121 0.0852  1 O 0.99
H: 0.0906 0.1752 0.7087  1 O 0.99
H: 0.3513 0.8981 0.2743  1 O 1.00
H: 0.0559 0.3251 0.7059  1 O 1.00
H: 0.1933 0.3373 0.0207  1 O 1.00
H: 0.1331 0.1163 0.0293  1 O 1.00
H: 0.3669 0.6163 0.4707  1 O 1.00
H: 0.3067 0.8373 0.4793  1 O 1.00
H: 0.1487 0.3981 0.2257  1 O 1.00
H: 0.2467 0.9121 0.4148  1 O 0.99
H: 0.2146 0.5685 0.4047  1 O 0.98
H: 0.8996 0.8729 0.7642  1 O 1.00
H: 0.9207 0.9156 0.6922  1 O 0.99
H: 0.9049 0.5615 0.7026  1 O 1.00
H: 0.0951 0.4385 0.2974  1 O 1.00
H: 0.0793 0.0844 0.3078  1 O 0.99
H: 0.1004 0.1271 0.2358  1 O 1.00
H: 0.7854 0.4315 0.5953  1 O 0.98
H: 0.7533 0.0879 0.5852  1 O 0.99
H: 0.8513 0.6019 0.7743  1 O 1.00
H: 0.6933 0.1627 0.5207  1 O 1.00
H: 0.6331 0.3837 0.5293  1 O 1.00
H: 0.8669 0.8837 0.9707  1 O 1.00
H: 0.8067 0.6627 0.9793  1 O 1.00
H: 0.9441 0.6749 0.2941  1 O 1.00
H: 0.6487 0.1019 0.7257  1 O 1.00
H: 0.9094 0.8248 0.2913  1 O 0.99
H: 0.7467 0.5879 0.9148  1 O 0.99
H: 0.7146 0.9315 0.9047  1 O 0.98
H: 0.5951 0.0615 0.7974  1 O 1.00
H: 0.5793 0.4156 0.8078  1 O 0.99
H: 0.6004 0.3729 0.7358  1 O 1.00
H: 0.5906 0.3248 0.2087  1 O 0.99
H: 0.5559 0.1749 0.2059  1 O 1.00
S: 0.3388 0.9924 0.6351  4 O 1.48-1.50
S: 0.2904 0.4934 0.6414  4 O 1.47-1.50
S: 0.2096 0.9934 0.8586  4 O 1.47-1.50
S: 0.2606 0.7531 0.0458  4 O 1.47-1.49
S: 0.1612 0.4924 0.8649  4 O 1.48-1.50
S: 0.2394 0.2531 0.4542  4 O 1.47-1.49
S: 0.7606 0.7469 0.5458  4 O 1.47-1.49
S: 0.8388 0.5076 0.1351  4 O 1.48-1.50
S: 0.7394 0.2469 0.9542  4 O 1.47-1.49
S: 0.7904 0.0066 0.1414  4 O 1.47-1.50
S: 0.7096 0.5066 0.3586  4 O 1.47-1.50
S: 0.6612 0.0076 0.3649  4 O 1.48-1.50
O: 0.4898 0.4085 0.6609  1 S 1.47
O: 0.4667 0.7484 0.7692  2 H 0.99-1.00
O: 0.3866 0.8593 0.6486  1 S 1.50
O: 0.4382 0.9549 0.8323  1 S 1.50, 2 H 1.63-1.67
O: 0.3444 0.6210 0.6635  1 S 1.49
O: 0.2657 0.0042 0.5645  1 S 1.49
O: 0.4426 0.8331 0.0201  1 S 1.48
O: 0.2447 0.4932 0.5698  1 S 1.49
O: 0.3576 0.5325 0.8276  1 S 1.48
O: 0.3527 0.6256 0.0466  1 S 1.48
O: 0.3243 0.3850 0.0462  2 H 0.99-1.00
O: 0.1424 0.0325 0.6724  1 S 1.48
O: 0.2553 0.9932 0.9302  1 S 1.49
O: 0.4383 0.9338 0.3501  1 S 1.48, 1 H 1.65
O: 0.2343 0.5042 0.9355  1 S 1.49
O: 0.4764 0.2634 0.4931  1 S 1.47
O: 0.2558 0.0564 0.0487  2 H 0.98-1.00
O: 0.3295 0.6390 0.2185  2 H 0.99-1.00
O: 0.1556 0.1210 0.8365  1 S 1.49
O: 0.0618 0.4549 0.6677  1 S 1.50, 2 H 1.63-1.67
O: 0.2458 0.7903 0.1136  1 S 1.49
O: 0.3038 0.8848 0.2272  2 H 1.00
O: 0.1134 0.3593 0.8514  1 S 1.50
O: 0.0333 0.2484 0.7308  2 H 0.99-1.00
O: 0.9426 0.6669 0.5201  1 S 1.48
O: 0.1962 0.3848 0.2728  2 H 1.00
O: 0.2542 0.2903 0.3864  1 S 1.49
O: 0.0102 0.9085 0.8391  1 S 1.47
O: 0.1705 0.1390 0.2815  2 H 0.99-1.00
O: 0.2442 0.5564 0.4513  2 H 0.98-1.00
O: 0.8527 0.8744 0.5466  1 S 1.48
O: 0.0236 0.7634 0.0069  1 S 1.47
O: 0.8243 0.1150 0.5462  2 H 0.99-1.00
O: 0.0617 0.4338 0.1499  1 S 1.48, 1 H 1.65
O: 0.9383 0.5662 0.8501  1 S 1.48, 1 H 1.65
O: 0.1757 0.8850 0.4538  2 H 0.99-1.00
O: 0.9764 0.2366 0.9931  1 S 1.47
O: 0.1473 0.1256 0.4534  1 S 1.48
O: 0.7558 0.4436 0.5487  2 H 0.98-1.00
O: 0.8295 0.8610 0.7185  2 H 0.99-1.00
O: 0.9898 0.0915 0.1609  1 S 1.47
O: 0.7458 0.7097 0.6136  1 S 1.49
O: 0.8038 0.6152 0.7272  2 H 1.00
O: 0.0574 0.3331 0.4799  1 S 1.48
O: 0.9667 0.7516 0.2692  2 H 0.99-1.00
O: 0.8866 0.6407 0.1486  1 S 1.50
O: 0.6962 0.1152 0.7728  2 H 1.00
O: 0.7542 0.2097 0.8864  1 S 1.49
O: 0.9382 0.5451 0.3323  1 S 1.50, 2 H 1.63-1.67
O: 0.8444 0.8790 0.1635  1 S 1.49
O: 0.6705 0.3610 0.7815  2 H 0.99-1.00
O: 0.7442 0.9436 0.9513  2 H 0.98-1.00
O: 0.5236 0.7366 0.5069  1 S 1.47
O: 0.7657 0.4958 0.0645  1 S 1.49
O: 0.5617 0.0662 0.6499  1 S 1.48, 1 H 1.65
O: 0.7447 0.0068 0.0698  1 S 1.49
O: 0.8576 0.9675 0.3276  1 S 1.48
O: 0.6757 0.6150 0.9538  2 H 0.99-1.00
O: 0.6473 0.3744 0.9534  1 S 1.48
O: 0.6424 0.4675 0.1724  1 S 1.48
O: 0.7553 0.5068 0.4302  1 S 1.49
O: 0.5574 0.1669 0.9799  1 S 1.48
O: 0.7343 0.9958 0.4355  1 S 1.49
O: 0.6556 0.3790 0.3365  1 S 1.49
O: 0.5618 0.0451 0.1677  1 S 1.50, 2 H 1.63-1.67
O: 0.6134 0.1407 0.3514  1 S 1.50
O: 0.5333 0.2516 0.2308  2 H 0.99-1.00
O: 0.5102 0.5915 0.3391  1 S 1.47

***

CaAc4Pt4 | GGA-PBE | relaxed

Output
The formation energy is -1.0444 eV per atom. The total magnetic moment is 0.000 μB/cell.

a b c (Å): 6.1362 7.5256 7.5214
angles (deg): 80.45 65.93 65.94
With the nearest neighbours (Å) after each atom.
Sites, in units of the cell vectors:
Ca: 0.0000 0.0000 0.0000  4 Pt 3.01-3.02
Ac: 0.6014 0.5901 0.2070  5 Pt 3.01-3.12
Ac: 0.3986 0.4099 0.7930  5 Pt 3.01-3.12
Ac: 0.1918 0.2067 0.4097  5 Pt 3.01-3.12
Ac: 0.8082 0.7933 0.5903  5 Pt 3.01-3.12
Pt: 0.8996 0.3945 0.8063  5 Ac 3.01-3.12, 1 Ca 3.02
Pt: 0.1004 0.6055 0.1937  5 Ac 3.01-3.12, 1 Ca 3.02
Pt: 0.2938 0.8065 0.6059  5 Ac 3.01-3.12, 1 Ca 3.01
Pt: 0.7062 0.1935 0.3941  5 Ac 3.01-3.12, 1 Ca 3.01

***

DyPH | GGA-PBE | relaxed

Output
The calculation puts the total DFT energy (no corrections) at -5.342 eV/atom. The total magnetic moment is 0.000 μB/cell.

a b c (Å): 3.9334 5.7274 5.3215
angles (deg): 64.99 68.42 69.96
With the nearest neighbours (Å) after each atom.
Sites, in units of the cell vectors:
P: 0.5205 0.6649 0.2905  1 P 2.22
P: 0.4795 0.3351 0.7095  1 P 2.22
H: 0.8108 0.0800 0.2967  3 Dy 2.15-2.20
H: 0.1892 0.9200 0.7033  3 Dy 2.15-2.20
Dy: 0.2135 0.2576 0.3145  3 H 2.15-2.20
Dy: 0.7865 0.7424 0.6855  3 H 2.15-2.20

***

Pm3GaTeBr | GGA-PBE | relaxed

Output
The calculation puts the energy relative to the elements, uncorrected at -6.1 eV/f.u. The total magnetic moment is 0.001 μB/cell.

a b c (Å): 4.1163 8.1224 11.1016
angles (deg): 109.77 90.00 90.00
With the nearest neighbours (Å) after each atom.
Sites, in units of the cell vectors:
Pm: 0.7500 0.8536 0.0821  3 Ga 3.01-3.31, 3 Te 3.21-3.28, 1 Br 3.28
Pm: 0.2500 0.1464 0.9179  3 Ga 3.01-3.31, 3 Te 3.21-3.28, 1 Br 3.28
Pm: 0.2500 0.7270 0.5371  3 Br 3.10-3.23, 2 Te 3.28
Pm: 0.7500 0.2730 0.4629  3 Br 3.10-3.23, 2 Te 3.28
Pm: 0.7500 0.4690 0.2219  1 Br 3.00, 3 Ga 3.02-3.06, 2 Te 3.21
Pm: 0.2500 0.5310 0.7781  1 Br 3.00, 3 Ga 3.02-3.06, 2 Te 3.21
Ga: 0.2500 0.5761 0.0634  2 Ga 2.56
Ga: 0.7500 0.4239 0.9366  2 Ga 2.56
Te: 0.2500 0.1645 0.2180  7 Pm 3.21-3.28
Te: 0.7500 0.8355 0.7820  7 Pm 3.21-3.28
Br: 0.2500 0.1492 0.6228  5 Pm 3.00-3.28
Br: 0.7500 0.8508 0.3772  5 Pm 3.00-3.28

***

La6YMg | GGA-PBE | relaxed

Output
The formation energy is 0.1221 eV per atom. The total magnetic moment is 0.000 μB/cell.

a b c (Å): 6.5934 6.6021 10.2159
angles (deg): 59.68 59.69 51.05
With the nearest neighbours (Å) after each atom.
Sites, in units of the cell vectors:
La: 0.1504 0.1503 0.5805  6 La 3.41-3.54, 1 Mg 3.60, 3 Y 3.69-3.77
La: 0.8048 0.8057 0.8382  2 La 3.29-3.42, 1 Mg 3.52
La: 0.4528 0.4526 0.1976  5 La 3.29-3.54, 2 Mg 3.35, 1 Y 3.44
La: 0.1952 0.1943 0.1618  2 La 3.29-3.42, 1 Mg 3.52
La: 0.8496 0.8497 0.4195  6 La 3.41-3.54, 1 Mg 3.60, 3 Y 3.69-3.77
La: 0.5472 0.5474 0.8024  5 La 3.29-3.54, 2 Mg 3.35, 1 Y 3.44
Y: 0.5000 0.5000 0.5000  8 La 3.44-3.77
Mg: 0.0000 0.0000 0.0000  8 La 3.35-3.60

***

KZn2P | GGA-PBE | relaxed

Output
The formation energy is 0.1830 eV per atom. The total magnetic moment is 0.000 μB/cell.

a b c (Å): 4.6416 3.0106 6.0556
angles (deg): 90.00 90.00 90.00
With the nearest neighbours (Å) after each atom.
Sites, in units of the cell vectors:
K: 0.5000 0.2500 0.2500  2 K 3.01, 8 Zn 3.26
P: 0.5000 0.7500 0.7500  4 Zn 2.66
Zn: 0.0000 0.7500 0.9658  1 Zn 2.61, 2 P 2.66
Zn: 0.0000 0.7500 0.5342  1 Zn 2.61, 2 P 2.66

***

TiTl3Ni | GGA-PBE | relaxed

Output
The formation energy is 1.0334 eV per atom. The total magnetic moment is 0.000 μB/cell.

a b c (Å): 5.3681 5.3681 5.3681
angles (deg): 90.00 90.00 90.00
With the nearest neighbours (Å) after each atom.
Sites, in units of the cell vectors:
Ni: 0.5000 0.5000 0.5000  12 Tl 3.80
Tl: 0.0000 0.5000 0.0000  2 Ti 2.68
Tl: 0.0000 0.0000 0.5000  2 Ti 2.68
Tl: 0.5000 0.0000 0.0000  2 Ti 2.68
Ti: 0.0000 0.0000 0.0000  6 Tl 2.68

***

TbEr8Tm5 | GGA-PBE | relaxed

Output
The formation energy is 0.2581 eV per atom. The total magnetic moment is 0.000 μB/cell.

a b c (Å): 8.3127 8.3126 8.3127
angles (deg): 111.09 106.29 111.09
With the nearest neighbours (Å) after each atom.
Sites, in units of the cell vectors:
Tb: 0.2500 0.5000 0.7500  4 Er 3.20
Er: 0.1620 0.7382 0.0805  4 Tm 3.07-3.39, 1 Tb 3.20
Er: 0.9195 0.0815 0.6577  4 Tm 3.07-3.39, 1 Tb 3.20
Er: 0.7277 0.2536 0.3334  5 Tm 3.26-3.47, 3 Er 3.51-3.57
Er: 0.6666 0.3943 0.9202  5 Tm 3.26-3.47, 3 Er 3.51-3.57
Er: 0.5260 0.6057 0.2723  5 Tm 3.26-3.47, 3 Er 3.51-3.57
Er: 0.5762 0.9185 0.8380  4 Tm 3.07-3.39, 1 Tb 3.20
Er: 0.3423 0.2618 0.4238  4 Tm 3.07-3.39, 1 Tb 3.20
Er: 0.0798 0.7464 0.4740  5 Tm 3.26-3.47, 3 Er 3.51-3.57
Tm: 0.0372 0.3219 0.1345  8 Er 3.29-3.47, 2 Tm 3.50
Tm: 0.8655 0.9027 0.1874  8 Er 3.29-3.47, 2 Tm 3.50
Tm: 0.8126 0.6781 0.7154  8 Er 3.29-3.47, 2 Tm 3.50
Tm: 0.5000 0.0000 0.5000  8 Er 3.07-3.26
Tm: 0.2846 0.0973 0.9628  8 Er 3.29-3.47, 2 Tm 3.50